KTmFeF6 | PBE with a Hubbard U | optimized geometry

Lattice parameters (Å, degrees): 5.747 5.747 11.115 90.00 90.00 120.00
Fractional positions:
K 0.000 0.000 0.000
K 0.000 0.000 0.500
Tm 0.333 0.667 0.250
Tm 0.667 0.333 0.750
Fe 0.333 0.667 0.750
Fe 0.667 0.333 0.250
F 0.006 0.378 0.648
F 0.006 0.628 0.852
F 0.372 0.378 0.852
F 0.372 0.994 0.648
F 0.378 0.006 0.148
F 0.378 0.372 0.352
F 0.622 0.628 0.648
F 0.622 0.994 0.852
F 0.628 0.006 0.352
F 0.628 0.622 0.148
F 0.994 0.372 0.148
F 0.994 0.622 0.352

Summary:
VASP energy ... -5.666 eV/atom
Total moment ... 8.00 μB per cell
Theoretical density ... 3948 kg/m³